[1]
A geometry-optimized NaCa6Zn2 structure. Source: the Alexandria database, functional PBE.

```
18
Lattice="-5.1669 5.2445 5.6338 5.1669 -5.2445 5.6338 5.1669 5.2445 -5.6338" Properties=species:S:1:pos:R:3 pbc="T T T"
Na 0.0000 0.0000 0.0000
Na 0.0000 0.0000 5.6338
Ca 5.1669 2.9815 -2.9458
Ca 2.9350 1.9797 0.0000
Ca 7.3989 1.9797 0.0000
Ca 2.0761 5.2445 -2.0430
Ca 3.0908 0.0000 3.5907
Ca 0.0000 2.2630 2.6880
Ca 5.1669 2.9815 2.9458
Ca 2.0761 5.2445 2.0430
Ca 3.0908 0.0000 7.6768
Ca -2.2320 3.2648 5.6338
Ca 2.2320 3.2648 5.6338
Ca 0.0000 2.2630 8.5795
Zn 5.1669 0.0000 1.2926
Zn 0.0000 3.8445 0.0000
Zn 0.0000 6.6445 0.0000
Zn 0.0000 5.2445 4.3411
```

Computed properties:
Symmetry ... Immm
Total magnetization ... 0.000 μB/f.u.
DFT formation energy ... -85.3 kJ/mol of formula units
Uncorrected energy ... -1.8623 eV/atom



[2]
A geometry-optimized Na2CaZn structure. Source: the Alexandria database, functional PBE.

```
4
Lattice="4.6056 0.0000 0.0000 0.0000 4.6056 0.0000 0.0000 0.0000 5.6129" Properties=species:S:1:pos:R:3 pbc="T T T"
Na 0.0000 2.3028 0.0000
Na 2.3028 0.0000 0.0000
Ca 0.0000 0.0000 2.8064
Zn 2.3028 2.3028 2.8064
```

Computed properties:
E above lowest polymorph ... 0.0000 eV per atom
Symmetry ... P4/mmm
Total magnetization ... 0.000 μB/f.u.
DFT formation energy ... 12.4 kJ/mol of formula units
Uncorrected energy ... -1.4462 eV/atom